(1)
{
  "formula": "Nd3Tl5Se12",
  "functional": "PBE-GGA",
  "state": "relaxed",
  "cell": [[-8.481, 8.481, 8.481], [8.481, -8.481, 8.481], [8.481, 8.481, -8.481]],
  "species": ["Nd", "Nd", "Nd", "Nd", "Nd", "Nd", "Nd", "Nd", "Nd", "Nd", "Nd", "Nd", "Tl", "Tl", "Tl", "Tl", "Tl", "Tl", "Tl", "Tl", "Tl", "Tl", "Tl", "Tl", "Tl", "Tl", "Tl", "Tl", "Tl", "Tl", "Tl", "Tl", "Se", "Se", "Se", "Se", "Se", "Se", "Se", "Se", "Se", "Se", "Se", "Se", "Se", "Se", "Se", "Se", "Se", "Se", "Se", "Se", "Se", "Se", "Se", "Se", "Se", "Se", "Se", "Se", "Se", "Se", "Se", "Se", "Se", "Se", "Se", "Se", "Se", "Se", "Se", "Se", "Se", "Se", "Se", "Se", "Se", "Se", "Se", "Se"],
  "fractional_positions": [[0.125, 0.250, 0.375], [0.125, 0.375, 0.750], [0.250, 0.375, 0.125], [0.250, 0.875, 0.625], [0.375, 0.125, 0.250], [0.375, 0.750, 0.125], [0.625, 0.250, 0.875], [0.625, 0.875, 0.750], [0.750, 0.125, 0.375], [0.750, 0.625, 0.875], [0.875, 0.625, 0.250], [0.875, 0.750, 0.625], [0.000, 0.000, 0.000], [0.000, 0.000, 0.500], [0.000, 0.500, 0.000], [0.000, 0.500, 0.500], [0.125, 0.750, 0.875], [0.125, 0.875, 0.250], [0.250, 0.125, 0.875], [0.250, 0.625, 0.375], [0.375, 0.250, 0.625], [0.375, 0.625, 0.750], [0.500, 0.000, 0.000], [0.500, 0.000, 0.500], [0.500, 0.500, 0.000], [0.500, 0.500, 0.500], [0.625, 0.375, 0.250], [0.625, 0.750, 0.375], [0.750, 0.375, 0.625], [0.750, 0.875, 0.125], [0.875, 0.125, 0.750], [0.875, 0.250, 0.125], [0.048, 0.220, 0.135], [0.048, 0.328, 0.914], [0.086, 0.635, 0.414], [0.086, 0.720, 0.672], [0.086, 0.865, 0.414], [0.086, 0.952, 0.672], [0.135, 0.048, 0.220], [0.135, 0.586, 0.914], [0.172, 0.220, 0.586], [0.172, 0.452, 0.586], [0.220, 0.135, 0.048], [0.220, 0.586, 0.172], [0.280, 0.328, 0.914], [0.280, 0.452, 0.365], [0.328, 0.914, 0.048], [0.328, 0.914, 0.280], [0.365, 0.280, 0.452], [0.365, 0.586, 0.914], [0.414, 0.086, 0.635], [0.414, 0.086, 0.865], [0.414, 0.828, 0.548], [0.414, 0.828, 0.780], [0.452, 0.365, 0.280], [0.452, 0.586, 0.172], [0.548, 0.414, 0.828], [0.548, 0.635, 0.720], [0.586, 0.172, 0.220], [0.586, 0.172, 0.452], [0.586, 0.914, 0.135], [0.586, 0.914, 0.365], [0.635, 0.414, 0.086], [0.635, 0.720, 0.548], [0.672, 0.086, 0.720], [0.672, 0.086, 0.952], [0.720, 0.548, 0.635], [0.720, 0.672, 0.086], [0.780, 0.414, 0.828], [0.780, 0.865, 0.952], [0.828, 0.548, 0.414], [0.828, 0.780, 0.414], [0.865, 0.414, 0.086], [0.865, 0.952, 0.780], [0.914, 0.048, 0.328], [0.914, 0.135, 0.586], [0.914, 0.280, 0.328], [0.914, 0.365, 0.586], [0.952, 0.672, 0.086], [0.952, 0.780, 0.865]],
  "space_group": "Ia-3d, No. 230",
  "n_ef_per_ev_cell": 28.686,
  "dft_energy_ry_per_atom": -0.3040,
  "raw_formation_energy_kcal_per_mol_atoms": -17.05
}

(2)
{
  "formula": "Nd5TlSe8",
  "functional": "PBE-GGA",
  "state": "relaxed",
  "cell": [[0.000, 6.244, 6.244], [6.244, 0.000, 6.244], [6.244, 6.244, 0.000]],
  "species": ["Nd", "Nd", "Nd", "Nd", "Nd", "Tl", "Se", "Se", "Se", "Se", "Se", "Se", "Se", "Se"],
  "fractional_positions": [[0.000, 0.000, 0.000], [0.137, 0.621, 0.621], [0.621, 0.137, 0.621], [0.621, 0.621, 0.137], [0.621, 0.621, 0.621], [0.250, 0.250, 0.250], [0.389, 0.389, 0.389], [0.389, 0.389, 0.833], [0.389, 0.833, 0.389], [0.398, 0.867, 0.867], [0.833, 0.389, 0.389], [0.867, 0.398, 0.867], [0.867, 0.867, 0.398], [0.867, 0.867, 0.867]],
  "space_group": "F-43m, No. 216",
  "dft_energy_ry_per_atom": -0.4050,
  "raw_formation_energy_kcal_per_mol_atoms": -37.98
}

(3)
{
  "formula": "Nd2TlSe",
  "functional": "PBE-GGA",
  "state": "relaxed",
  "cell": [[2.079, 1.201, 7.977], [-2.079, 1.201, 7.977], [0.000, -2.401, 7.977]],
  "species": ["Nd", "Nd", "Tl", "Se"],
  "fractional_positions": [[0.241, 0.241, 0.241], [0.759, 0.759, 0.759], [0.000, 0.000, 0.000], [0.500, 0.500, 0.500]],
  "space_group": "R-3m, No. 166",
  "n_ef_per_ev_cell": 2.558,
  "dft_energy_ry_per_atom": -0.3627,
  "raw_formation_energy_kcal_per_mol_atoms": -25.08,
  "e_above_lowest_polymorph_mev_per_atom": 0
}

(4)
{
  "formula": "NdTl3Se3",
  "functional": "PBE-GGA",
  "state": "relaxed",
  "cell": [[9.147, 0.000, 0.000], [0.000, 4.343, 0.000], [-0.826, 0.000, 12.564]],
  "species": ["Nd", "Nd", "Tl", "Tl", "Tl", "Tl", "Tl", "Tl", "Se", "Se", "Se", "Se", "Se", "Se"],
  "fractional_positions": [[0.114, 0.250, 0.381], [0.886, 0.750, 0.619], [0.139, 0.250, 0.877], [0.331, 0.750, 0.147], [0.384, 0.750, 0.632], [0.616, 0.250, 0.368], [0.669, 0.250, 0.853], [0.861, 0.750, 0.123], [0.096, 0.250, 0.145], [0.110, 0.250, 0.618], [0.338, 0.750, 0.389], [0.662, 0.250, 0.611], [0.890, 0.750, 0.382], [0.904, 0.750, 0.855]],
  "space_group": "P2_1/m, No. 11",
  "dft_energy_ry_per_atom": -0.3044,
  "raw_formation_energy_kcal_per_mol_atoms": -21.98
}

(5)
{
  "formula": "Nd3TlSe",
  "functional": "PBE-GGA",
  "state": "relaxed",
  "cell": [[9.288, 0.000, 0.000], [0.000, 4.187, 0.000], [0.000, 0.000, 15.967]],
  "species": ["Nd", "Nd", "Nd", "Nd", "Nd", "Nd", "Nd", "Nd", "Nd", "Nd", "Nd", "Nd", "Tl", "Tl", "Tl", "Tl", "Se", "Se", "Se", "Se"],
  "fractional_positions": [[0.025, 0.250, 0.110], [0.158, 0.250, 0.530], [0.174, 0.750, 0.290], [0.326, 0.250, 0.790], [0.342, 0.750, 0.030], [0.475, 0.750, 0.610], [0.525, 0.250, 0.390], [0.658, 0.250, 0.970], [0.674, 0.750, 0.210], [0.826, 0.250, 0.710], [0.842, 0.750, 0.470], [0.975, 0.750, 0.890], [0.105, 0.750, 0.688], [0.395, 0.250, 0.188], [0.605, 0.750, 0.812], [0.895, 0.250, 0.312], [0.175, 0.250, 0.948], [0.325, 0.750, 0.448], [0.675, 0.250, 0.552], [0.825, 0.750, 0.052]],
  "space_group": "Pnma, No. 62",
  "n_ef_per_ev_cell": 19.109,
  "dft_energy_ry_per_atom": -0.3605,
  "raw_formation_energy_kcal_per_mol_atoms": -20.15
}

(6)
{
  "formula": "Nd2Tl4Se5",
  "functional": "PBE-GGA",
  "state": "relaxed",
  "cell": [[2.157, 1.246, 23.833], [-2.157, 1.246, 23.833], [0.000, -2.491, 23.833]],
  "species": ["Nd", "Nd", "Tl", "Tl", "Tl", "Tl", "Se", "Se", "Se", "Se", "Se"],
  "fractional_positions": [[0.141, 0.141, 0.141], [0.859, 0.859, 0.859], [0.313, 0.313, 0.313], [0.413, 0.413, 0.413], [0.587, 0.587, 0.587], [0.687, 0.687, 0.687], [0.213, 0.213, 0.213], [0.375, 0.375, 0.375], [0.500, 0.500, 0.500], [0.625, 0.625, 0.625], [0.787, 0.787, 0.787]],
  "space_group": "R-3m, No. 166",
  "n_ef_per_ev_cell": 2.963,
  "dft_energy_ry_per_atom": -0.3099,
  "raw_formation_energy_kcal_per_mol_atoms": -20.87
}

(7)
{
  "formula": "NdTlSe2",
  "functional": "PBE-GGA",
  "state": "relaxed",
  "cell": [[2.164, 1.249, 7.749], [-2.164, 1.249, 7.749], [0.000, -2.499, 7.749]],
  "species": ["Nd", "Tl", "Se", "Se"],
  "fractional_positions": [[0.000, 0.000, 0.000], [0.500, 0.500, 0.500], [0.263, 0.263, 0.263], [0.737, 0.737, 0.737]],
  "space_group": "R-3m, No. 166",
  "dft_energy_ry_per_atom": -0.3605,
  "raw_formation_energy_kcal_per_mol_atoms": -31.79
}

(8)
{
  "formula": "NdTl2Se4",
  "functional": "PBE-GGA",
  "state": "relaxed",
  "cell": [[2.147, -7.319, 0.000], [2.147, 7.319, 0.000], [0.000, 0.000, 13.129]],
  "species": ["Nd", "Nd", "Tl", "Tl", "Tl", "Tl", "Se", "Se", "Se", "Se", "Se", "Se", "Se", "Se"],
  "fractional_positions": [[0.081, 0.919, 0.750], [0.919, 0.081, 0.250], [0.367, 0.633, 0.555], [0.367, 0.633, 0.945], [0.633, 0.367, 0.055], [0.633, 0.367, 0.445], [0.000, 0.000, 0.000], [0.000, 0.000, 0.500], [0.297, 0.703, 0.153], [0.297, 0.703, 0.347], [0.443, 0.557, 0.750], [0.557, 0.443, 0.250], [0.703, 0.297, 0.653], [0.703, 0.297, 0.847]],
  "space_group": "Cmcm, No. 63",
  "n_ef_per_ev_cell": 5.183,
  "dft_energy_ry_per_atom": -0.3036,
  "raw_formation_energy_kcal_per_mol_atoms": -18.04
}

Mass density: 6.54 5.31 7.94 6.62 7.66 6.49 6.69 6.99 (g/cm3)